(1)
{"formula": "Tl2SF", "functional": "PBE", "state": "relaxed", "polymorph_energy_mev_per_atom": 167, "formation_energy_uncorrected_mev_per_atom": -772, "spacegroup": "I-42d (122)", "lattice": [[6.377, 0.000, 0.000], [0.000, 6.377, 0.000], [3.188, 3.188, 6.123]], "species": ["Tl", "Tl", "Tl", "Tl", "S", "S", "F", "F"], "fractional_positions": [[0.875, 0.843, 0.750], [0.157, 0.625, 0.250], [0.375, 0.407, 0.750], [0.593, 0.125, 0.250], [0.750, 0.250, 0.500], [0.000, 0.000, 0.000], [0.250, 0.750, 0.500], [0.500, 0.500, 0.000]]}

---

(2)
{"formula": "TlSF5", "functional": "PBE", "state": "relaxed", "formation_energy_uncorrected_mev_per_atom": -1486, "spacegroup": "P1 (1)", "lattice": [[-7.560, 3.524, -0.338], [2.669, -1.420, -7.160], [-1.405, -4.211, 5.325]], "species": ["F", "F", "F", "F", "F", "F", "F", "F", "F", "F", "Tl", "Tl", "S", "S"], "fractional_positions": [[0.041, 0.065, 0.249], [0.554, 0.872, 0.534], [0.298, 0.571, 0.665], [0.620, 0.491, 0.944], [0.388, 0.132, 0.059], [0.702, 0.081, 0.264], [0.864, 0.429, 0.206], [0.249, 0.316, 0.860], [0.284, 0.876, 0.285], [0.949, 0.049, 0.907], [0.479, 0.730, 0.104], [0.401, 0.074, 0.726], [0.043, 0.544, 0.464], [0.129, 0.270, 0.233]]}

---

(3)
{"formula": "Tl3SF", "functional": "PBE", "state": "relaxed", "polymorph_energy_mev_per_atom": 212, "formation_energy_uncorrected_mev_per_atom": -672, "spacegroup": "Pm-3m (221)", "lattice": [[-0.288, -5.058, 1.294], [0.585, -1.319, -5.026], [5.188, -0.132, 0.639]], "species": ["Tl", "Tl", "Tl", "F", "S"], "fractional_positions": [[0.000, 0.000, 0.500], [0.000, 0.500, 0.000], [0.500, 0.000, 0.000], [0.000, 0.000, 0.000], [0.500, 0.500, 0.500]]}